Below is BaZn2Cl at its PBEsol-relaxed geometry, with properties calculated at the meta-GGA SCAN level.

a b c (Å): 5.487 5.487 5.487
angles (deg): 127.77 124.14 79.99
Element x y z (fractional)
1 Ba 0.000 0.000 0.000
2 Zn 0.275 0.775 0.500
3 Zn 0.412 0.412 0.000
4 Cl 0.741 0.241 0.500

The uncorrected formation energy comes out at -0.647 eV/atom. Its density of states at the Fermi level is 0.544 states/eV/atom. For the spin magnetization, the calculation gives 0.000 μB/atom. As for the space-group type: Imm2.

Below is InMoNF2 at its PBEsol-relaxed geometry, with properties calculated at the meta-GGA SCAN level.

a b c (Å): 4.126 4.126 4.268
angles (deg): 90.00 90.00 90.00
Element x y z (fractional)
1 In 0.000 0.000 0.000
2 Mo 0.500 0.500 0.500
3 N 0.000 0.000 0.500
4 F 0.000 0.500 0.000
5 F 0.500 0.000 0.000

The uncorrected formation energy comes out at -0.352 eV/atom. Its density of states at the Fermi level is 0.144 states/eV/atom. The value obtained for the polymorph energy (0 for the lowest one) is 3.88 eV/f.u. For the spin magnetization, the calculation gives 0.800 μB/atom. As for the space-group type: P4/mmm.

Below is Cr2Ni2I at its PBEsol-relaxed geometry, with properties calculated at the meta-GGA SCAN level.

a b c (Å): 7.251 7.251 7.251
angles (deg): 152.88 152.88 38.74
Element x y z (fractional)
1 Cr 0.124 0.124 0.000
2 Cr 0.876 0.876 0.000
3 Ni 0.250 0.750 0.500
4 Ni 0.750 0.250 0.500
5 I 0.500 0.500 0.000

The uncorrected formation energy comes out at 0.509 eV/atom. Its density of states at the Fermi level is 1.087 states/eV/atom. For the spin magnetization, the calculation gives 1.519 μB/atom. As for the space-group type: I4/mmm.

Below is CrCd2Se at its PBEsol-relaxed geometry, with properties calculated at the meta-GGA SCAN level.

a b c (Å): 6.976 6.976 6.976
angles (deg): 152.55 148.45 42.30
Element x y z (fractional)
1 Cr 0.000 0.000 0.000
2 Cd 0.191 0.691 0.500
3 Cd 0.809 0.309 0.500
4 Se 0.500 0.500 0.000

The uncorrected formation energy comes out at -0.128 eV/atom. Its density of states at the Fermi level is 0.290 states/eV/atom. For the spin magnetization, the calculation gives 0.997 μB/atom. As for the space-group type: Immm.